1.
This record from Alexandria describes an optimized crystal structure of KAlPd2Cl. The functional is PBE.

Summary:
- DOS at the Fermi energy (states/eV per atom) = 0.395
- calculated total energy (eV per cell) = -15.689
- formation energy (no corrections) (eV/atom) = 0.28

a b c (Å): 4.782 4.782 5.301
angles (deg): 90.00 90.00 90.00
Sites, in units of the cell vectors:
K (0.000, 0.000, 0.000)
Al (0.500, 0.500, 0.000)
Pd (0.000, 0.500, 0.500)
Pd (0.500, 0.000, 0.500)
Cl (0.500, 0.500, 0.500)



2.
This record from Alexandria describes an optimized crystal structure of KAlPdCl6. The functional is PBE.

Summary:
- calculated total energy (eV per cell) = -32.123
- formation energy (no corrections) (eV/atom) = -1.22

a b c (Å): 6.391 6.391 7.010
angles (deg): 90.00 90.00 120.00
Sites, in units of the cell vectors:
K (0.000, 0.000, 0.000)
Al (0.333, 0.667, 0.500)
Pd (0.667, 0.333, 0.500)
Cl (0.023, 0.380, 0.306)
Cl (0.023, 0.643, 0.694)
Cl (0.357, 0.380, 0.694)
Cl (0.357, 0.977, 0.306)
Cl (0.620, 0.643, 0.306)
Cl (0.620, 0.977, 0.694)



3.
This record from Alexandria describes an optimized crystal structure of K2PuAlCl8. The functional is PBE.

Summary:
- DOS at the Fermi energy (states/eV per atom) = 0.605
- calculated total energy (eV per cell) = -53.910
- formation energy (no corrections) (eV/atom) = -1.57

a b c (Å): 7.029 7.029 7.462
angles (deg): 90.00 90.00 120.00
Sites, in units of the cell vectors:
K (0.333, 0.667, 0.396)
K (0.667, 0.333, 0.604)
Pu (0.000, 0.000, 0.000)
Al (0.000, 0.000, 0.500)
Cl (0.150, 0.300, 0.695)
Cl (0.150, 0.850, 0.695)
Cl (0.300, 0.150, 0.305)
Cl (0.333, 0.667, 0.023)
Cl (0.667, 0.333, 0.977)
Cl (0.700, 0.850, 0.695)
Cl (0.850, 0.150, 0.305)
Cl (0.850, 0.700, 0.305)



4.
This record from Alexandria describes an optimized crystal structure of K2RbAlCl6. The functional is PBE.

Summary:
- DOS at the Fermi energy (states/eV per atom) = 0.000
- calculated total energy (eV per cell) = -35.385
- formation energy (no corrections) (eV/atom) = -1.74

a b c (Å): 7.651 7.651 7.651
angles (deg): 60.00 60.00 60.00
Sites, in units of the cell vectors:
K (0.250, 0.250, 0.250)
K (0.750, 0.750, 0.750)
Rb (0.000, 0.000, 0.000)
Al (0.500, 0.500, 0.500)
Cl (0.284, 0.284, 0.716)
Cl (0.284, 0.716, 0.284)
Cl (0.284, 0.716, 0.716)
Cl (0.716, 0.284, 0.284)
Cl (0.716, 0.284, 0.716)
Cl (0.716, 0.716, 0.284)



5.
This record from Alexandria describes an optimized crystal structure of KAl2ReCl. The functional is PBE.

Summary:
- DOS at the Fermi energy (states/eV per atom) = 0.339
- calculated total energy (eV per cell) = -16.691
- formation energy (no corrections) (eV/atom) = 1.24

a b c (Å): 4.985 4.985 5.188
angles (deg): 90.00 90.00 90.00
Sites, in units of the cell vectors:
K (0.000, 0.000, 0.000)
Al (0.000, 0.500, 0.500)
Al (0.500, 0.000, 0.500)
Re (0.500, 0.500, 0.000)
Cl (0.000, 0.000, 0.500)



6.
This record from Alexandria describes an optimized crystal structure of KAlS2Cl. The functional is PBE.

Summary:
- DOS at the Fermi energy (states/eV per atom) = 0.426
- ΔE to the lowest computed polymorph (eV per formula unit) = 0.00
- calculated total energy (eV per cell) = -19.624
- formation energy (no corrections) (eV/atom) = -0.94

a b c (Å): 4.612 4.612 5.327
angles (deg): 90.00 90.00 90.00
Sites, in units of the cell vectors:
K (0.000, 0.000, 0.000)
Al (0.500, 0.500, 0.500)
S (0.000, 0.500, 0.500)
S (0.500, 0.000, 0.500)
Cl (0.500, 0.500, 0.000)



7.
This record from Alexandria describes an optimized crystal structure of KAlS2Cl. The functional is PBE.

Summary:
- DOS at the Fermi energy (states/eV per atom) = 1.061
- ΔE to the lowest computed polymorph (eV per formula unit) = 7.59
- calculated total energy (eV per cell) = -12.035
- formation energy (no corrections) (eV/atom) = 0.58

a b c (Å): 5.827 5.827 5.719
angles (deg): 90.00 90.00 90.00
Sites, in units of the cell vectors:
K (0.000, 0.000, 0.000)
Al (0.500, 0.500, 0.500)
S (0.000, 0.500, 0.000)
S (0.500, 0.000, 0.000)
Cl (0.000, 0.000, 0.500)



8.
This record from Alexandria describes an optimized crystal structure of KAlSn2Cl8. The functional is PBE.

Summary:
- DOS at the Fermi energy (states/eV per atom) = 0.000
- calculated total energy (eV per cell) = -43.102
- formation energy (no corrections) (eV/atom) = -1.29

a b c (Å): 6.535 6.698 8.610
angles (deg): 98.61 90.32 92.87
Sites, in units of the cell vectors:
K (0.000, 0.000, 0.000)
Al (0.000, 0.000, 0.500)
Sn (0.489, 0.553, 0.262)
Sn (0.511, 0.447, 0.738)
Cl (0.149, 0.194, 0.333)
Cl (0.155, 0.220, 0.725)
Cl (0.292, 0.795, 0.488)
Cl (0.363, 0.718, 0.031)
Cl (0.637, 0.282, 0.969)
Cl (0.708, 0.205, 0.512)
Cl (0.845, 0.780, 0.275)
Cl (0.851, 0.806, 0.667)